Density functional theory data (GGA-PBE) for a relaxed structure of K2ReSi.

```
K2ReSi
1.0
-0.123 -5.881 -2.260
2.828 5.149 -2.280
2.317 -0.617 1.480
Re K Si
1 2 1
direct
0.500 0.000 0.500
0.500 0.500 0.000
0.000 0.000 0.000
0.000 0.500 0.500
```

Output
Formation energy without anion corrections in eV/atom: 1.13
Final energy in eV per atom: -3.8893
Space group: Cmmm, No. 65
Density in g cm⁻³: 5.660